A relaxed structure of YEr7Th3. Source: the Alexandria database, functional PBE.

It has space group P2/m (No. 10), with a = 6.890 Å, b = 5.479 Å, c = 10.059 Å, α = 90.00°, β = 110.01° and γ = 90.00°. The asymmetric unit holds Y at (0.000, 0.000, 0.000), Er at (0.087, 0.000, 0.670), Er at (0.176, 0.500, 0.861), Er at (0.361, 0.500, 0.207), Er at (0.500, 0.000, 0.500), Th at (0.222, 0.500, 0.500) and Th at (0.500, 0.000, 0.000).

Its mass density is 9.10 g/cm³. The total magnetization comes out at 0.000 μB/cell. Its crystal system is monoclinic. The calculated total energy comes out at -58.97 eV per cell.